{
  "formula": "ReRuRh2",
  "functional": "PBE",
  "state": "relaxed",
  "lattice_angstrom": [[2.729, 0.000, 0.000], [0.000, 4.354, 0.000], [0.000, 0.000, 4.784]],
  "species": ["Re", "Ru", "Rh", "Rh"],
  "frac_coords": [[0.000, 0.000, 0.000], [0.000, 0.500, 0.320], [0.500, 0.000, 0.493], [0.500, 0.500, 0.822]],
  "density_g_cm3": 14.40,
  "delta_e_f_ev_per_atom": -0.08,
  "energy_ev_per_atom": -9.19,
  "magnetic_moment_mub_per_fu": 0.00,
  "relative_energy_mev_per_atom": 0
}

{
  "formula": "K2TcSe",
  "functional": "PBE",
  "state": "relaxed",
  "lattice_angstrom": [[5.524, 0.000, 0.000], [0.000, 4.706, 0.000], [-2.731, 0.000, 5.434]],
  "species": ["K", "K", "Tc", "Se"],
  "frac_coords": [[0.000, 0.000, 0.000], [0.310, 0.500, 0.618], [0.640, 0.500, 0.267], [0.676, 0.000, 0.363]],
  "density_g_cm3": 3.00,
  "energy_ev_per_atom": -3.82,
  "magnetic_moment_mub_per_fu": 2.43
}

{
  "formula": "Y4Sn2Te",
  "functional": "PBE",
  "state": "relaxed",
  "lattice_angstrom": [[6.204, 0.000, 0.000], [0.000, 6.526, 0.000], [-1.581, 0.000, 10.054]],
  "species": ["Y", "Y", "Y", "Y", "Y", "Y", "Y", "Y", "Sn", "Sn", "Sn", "Sn", "Te", "Te"],
  "frac_coords": [[0.030, 0.250, 0.164], [0.138, 0.750, 0.453], [0.433, 0.005, 0.732], [0.433, 0.495, 0.732], [0.567, 0.505, 0.268], [0.567, 0.995, 0.268], [0.862, 0.250, 0.547], [0.970, 0.750, 0.836], [0.312, 0.250, 0.458], [0.493, 0.250, 0.010], [0.507, 0.750, 0.990], [0.688, 0.750, 0.542], [0.049, 0.750, 0.158], [0.951, 0.250, 0.842]],
  "density_g_cm3": 5.88,
  "energy_ev_per_atom": -6.00,
  "magnetic_moment_mub_per_fu": 0.00
}